Record 1
{
  "formula": "BaLiZnS2",
  "functional": "PBE",
  "state": "optimized geometry",
  "lattice_angstrom": [[6.816, 0.000, 0.000], [0.000, 4.889, 0.000], [-0.892, 0.000, 7.525]],
  "species": ["Ba", "Ba", "Li", "Li", "Zn", "Zn", "S", "S", "S", "S"],
  "frac_coords": [[0.000, 0.199, 0.250], [0.000, 0.801, 0.750], [0.500, 0.497, 0.250], [0.500, 0.503, 0.750], [0.500, 0.000, 0.000], [0.500, 0.000, 0.500], [0.258, 0.312, 0.938], [0.258, 0.688, 0.438], [0.742, 0.312, 0.562], [0.742, 0.688, 0.062]],
  "dos_at_fermi_per_ev_fu": 3.00,
  "density_g_cm3": 3.63,
  "spacegroup": "P2/c, No. 13",
  "raw_formation_energy_ev_per_atom": -1.03
}

---

Record 2
{
  "formula": "BaLiZnS2",
  "functional": "PBE",
  "state": "optimized geometry",
  "lattice_angstrom": [[5.922, 0.000, 0.000], [0.000, 5.922, 0.000], [0.000, 0.000, 6.167]],
  "species": ["Ba", "Li", "Zn", "S", "S"],
  "frac_coords": [[0.000, 0.000, 0.000], [0.500, 0.500, 0.500], [0.000, 0.000, 0.500], [0.000, 0.500, 0.000], [0.500, 0.000, 0.000]],
  "dos_at_fermi_per_ev_fu": 2.06,
  "density_g_cm3": 2.10,
  "spacegroup": "P4/mmm, No. 123",
  "raw_formation_energy_ev_per_atom": -0.04
}

---

Record 3
{
  "formula": "Ba2LiZnS",
  "functional": "PBE",
  "state": "optimized geometry",
  "lattice_angstrom": [[6.207, 0.000, 0.000], [0.000, 6.207, 0.000], [0.000, 0.000, 4.558]],
  "species": ["Ba", "Ba", "Li", "Zn", "S"],
  "frac_coords": [[0.000, 0.500, 0.000], [0.500, 0.000, 0.000], [0.000, 0.000, 0.500], [0.500, 0.500, 0.500], [0.000, 0.000, 0.000]],
  "dos_at_fermi_per_ev_fu": 4.72,
  "density_g_cm3": 3.58,
  "spacegroup": "P4/mmm, No. 123",
  "raw_formation_energy_ev_per_atom": -0.75
}